(w)
This record from Alexandria describes a relaxed PrGd2Ge crystal. The functional is PBE.

a b c (Å): 4.7549 4.7667 4.7667
angles (deg): 90.00 90.00 90.00
Last column: nearest neighbours and their distance in Å.
Fractional coordinates of all 4 atoms:
Gd (0.0000, 0.0000, 0.5000)  4 Ge 3.37, 4 Pr 3.37, 4 Gd 3.37
Gd (0.0000, 0.5000, 0.0000)  4 Ge 3.37, 4 Pr 3.37, 4 Gd 3.37
Pr (0.5000, 0.0000, 0.0000)  8 Gd 3.37, 4 Ge 3.37
Ge (0.5000, 0.5000, 0.5000)  8 Gd 3.37, 4 Pr 3.37

Results
* mass density: 8.12 g/cm3


(x)
This record from Alexandria describes a relaxed PrGd2Ge crystal. The functional is PBE.

a b c (Å): 3.8495 3.8495 7.6578
angles (deg): 90.00 90.00 90.00
Last column: nearest neighbours and their distance in Å.
Fractional coordinates of all 4 atoms:
Gd (0.0000, 0.0000, 0.6948)  1 Gd 2.98, 4 Ge 3.10
Pr (0.5000, 0.5000, 0.0000)  8 Gd 3.59, 2 Ge 3.83, 4 Pr 3.85
Ge (0.5000, 0.5000, 0.5000)  8 Gd 3.10
Gd (0.0000, 0.0000, 0.3052)  1 Gd 2.98, 4 Ge 3.10

Results
* mass density: 7.73 g/cm3


Going by the energies, (w) is most stable and the next is 0.014 eV/atom up.


(w)
This record from Alexandria describes a relaxed GdPuGe2 crystal. The functional is PBE.

a b c (Å): 5.0610 5.0610 5.0610
angles (deg): 60.00 60.00 60.00
Last column: nearest neighbours and their distance in Å.
Fractional coordinates of all 4 atoms:
Ge (0.7500, 0.7500, 0.7500)  4 Gd 3.10, 4 Pu 3.10
Gd (0.0000, 0.0000, 0.0000)  8 Ge 3.10
Ge (0.2500, 0.2500, 0.2500)  4 Gd 3.10, 4 Pu 3.10
Pu (0.5000, 0.5000, 0.5000)  8 Ge 3.10

Results
* mass density: 9.90 g/cm3


(x)
This record from Alexandria describes a relaxed GdPuGe2 crystal. The functional is PBE.

a b c (Å): 3.0595 5.4324 5.4324
angles (deg): 90.00 90.00 90.00
Last column: nearest neighbours and their distance in Å.
Fractional coordinates of all 4 atoms:
Pu (0.5000, 0.5000, 0.5000)  2 Pu 3.06, 8 Ge 3.12
Ge (0.0000, 0.5000, 0.0000)  2 Ge 3.06, 4 Gd 3.12, 4 Pu 3.12
Gd (0.5000, 0.0000, 0.0000)  2 Gd 3.06, 8 Ge 3.12
Ge (0.0000, 0.0000, 0.5000)  2 Ge 3.06, 4 Gd 3.12, 4 Pu 3.12

Results
* mass density: 10.05 g/cm3


Going by the energies, (x) is most stable and the next is 0.014 eV/atom up.


(w)
This record from Alexandria describes a relaxed GdSc2Ge crystal. The functional is PBE.

a b c (Å): 3.4305 3.4305 9.8865
angles (deg): 80.01 80.01 60.00
Last column: nearest neighbours and their distance in Å.
Fractional coordinates of all 4 atoms:
Sc (0.7343, 0.7343, 0.7970)  3 Ge 2.79
Ge (0.0000, 0.0000, 0.0000)  6 Sc 2.79
Sc (0.2657, 0.2657, 0.2030)  3 Ge 2.79
Gd (0.5000, 0.5000, 0.5000)  6 Gd 3.43, 6 Sc 3.49

Results
* mass density: 5.38 g/cm3


(x)
This record from Alexandria describes a relaxed GdSc2Ge crystal. The functional is PBE.

a b c (Å): 4.4497 4.4873 4.4873
angles (deg): 90.00 90.00 90.00
Last column: nearest neighbours and their distance in Å.
Fractional coordinates of all 4 atoms:
Ge (0.5000, 0.5000, 0.5000)  8 Sc 3.16, 4 Gd 3.17
Gd (0.5000, 0.0000, 0.0000)  8 Sc 3.16, 4 Ge 3.17
Sc (0.0000, 0.0000, 0.5000)  4 Ge 3.16, 4 Gd 3.16, 4 Sc 3.17
Sc (0.0000, 0.5000, 0.0000)  4 Ge 3.16, 4 Gd 3.16, 4 Sc 3.17

Results
* mass density: 5.93 g/cm3


Going by the energies, (x) is most stable and the next is 0.165 eV/atom up.


(w)
This record from Alexandria describes a relaxed SmGd2Ge crystal. The functional is PBE.

a b c (Å): 3.5194 3.5194 11.8427
angles (deg): 81.45 81.45 60.00
Last column: nearest neighbours and their distance in Å.
Fractional coordinates of all 4 atoms:
Gd (0.0833, 0.0833, 0.7502)  1 Ge 2.91
Gd (0.9167, 0.9167, 0.2498)  1 Ge 2.91
Sm (0.5000, 0.5000, 0.5000)  6 Sm 3.52, 6 Gd 3.56
Ge (0.0000, 0.0000, 0.0000)  2 Gd 2.91

Results
* mass density: 7.13 g/cm3


(x)
This record from Alexandria describes a relaxed SmGd2Ge crystal. The functional is PBE.

a b c (Å): 4.7415 4.7190 4.7190
angles (deg): 90.00 90.00 90.00
Last column: nearest neighbours and their distance in Å.
Fractional coordinates of all 4 atoms:
Sm (0.5000, 0.5000, 0.5000)  4 Ge 3.34, 8 Gd 3.34
Gd (0.0000, 0.0000, 0.5000)  4 Gd 3.34, 4 Sm 3.34, 4 Ge 3.34
Ge (0.5000, 0.0000, 0.0000)  4 Sm 3.34, 8 Gd 3.34
Gd (0.0000, 0.5000, 0.0000)  4 Gd 3.34, 4 Sm 3.34, 4 Ge 3.34

Results
* mass density: 8.45 g/cm3


(y)
This record from Alexandria describes a relaxed SmGd2Ge crystal. The functional is PBE.

a b c (Å): 3.8662 3.8662 7.4360
angles (deg): 90.00 90.00 90.00
Last column: nearest neighbours and their distance in Å.
Fractional coordinates of all 4 atoms:
Ge (0.5000, 0.5000, 0.5000)  8 Gd 3.11
Gd (0.0000, 0.0000, 0.3001)  1 Gd 2.97, 4 Ge 3.11
Gd (0.0000, 0.0000, 0.6999)  1 Gd 2.97, 4 Ge 3.11
Sm (0.5000, 0.5000, 0.0000)  8 Gd 3.53, 2 Ge 3.72, 4 Sm 3.87

Results
* mass density: 8.03 g/cm3


Going by the energies, (x) is most stable and the next is 0.028 eV/atom up.